1.
Here is crystalline Ti4Re2Ru at its relaxed geometry from the Alexandria database. Energies are from GGA-PBE.

Computed properties:
Density   9.49 g/cm³
E_tot   -67.37 eV per cell
D(E_F)   7.725 states/eV/f.u.
Total moment   0.0000 μB per atom

Unit cell a=5.3272 b=5.3272 c=5.3272 alpha=109.60 beta=109.41 gamma=109.41
Fractional coordinates of all 7 atoms:
Ti: 0.0000 0.0000 0.5000
Ru: 0.0000 0.0000 0.0000
Ti: 0.5000 0.0000 0.0000
Ti: 0.0000 0.5000 0.0000
Re: 0.5000 0.5000 0.0000
Re: 0.5000 0.0000 0.5000
Ti: 0.5000 0.5000 0.5000

---

2.
Here is crystalline AlCd2In at its relaxed geometry from the Alexandria database. Energies are from GGA-PBE.

Computed properties:
Density   6.56 g/cm³
E_tot   -7.74 eV per cell
D(E_F)   0.899 states/eV/f.u.
Total moment   0.0000 μB per atom

Unit cell a=4.9941 b=3.2339 c=5.8397 alpha=79.70 beta=90.00 gamma=90.00
Fractional coordinates of all 4 atoms:
Al: 0.5000 0.7500 0.7500
In: 0.5000 0.2500 0.2500
Cd: 0.0000 0.9003 0.9865
Cd: 0.0000 0.5997 0.5135

---

3.
Here is crystalline CeSmEr2As4 at its relaxed geometry from the Alexandria database. Energies are from GGA-PBE.

Computed properties:
Density   7.61 g/cm³
E_tot   -50.36 eV per cell
D(E_F)   6.372 states/eV/f.u.
Total moment   0.0714 μB per atom

Unit cell a=4.1511 b=7.1729 c=7.1889 alpha=70.55 beta=90.00 gamma=90.00
Last column: magnetic moment on the atom in μB.
Fractional coordinates of all 8 atoms:
Er: 0.5000 0.0000 0.5000  0.00
As: 0.0000 0.7571 0.7459  -0.01
Sm: 0.5000 0.5000 0.0000  0.01
As: 0.5000 0.7571 0.2486  -0.01
Ce: 0.0000 0.5000 0.5000  0.53
Er: 0.0000 0.0000 0.0000  0.00
As: 0.5000 0.2429 0.7514  -0.01
As: 0.0000 0.2429 0.2541  -0.01

---

4.
Here is crystalline CaIr at its relaxed geometry from the Alexandria database. Energies are from GGA-PBE.

Computed properties:
Density   4.71 g/cm³
E_tot   -77.36 eV per cell
D(E_F)   1.218 states/eV/f.u.
Total moment   0.5122 μB per atom

Unit cell a=8.6842 b=8.6842 c=8.6842 alpha=90.00 beta=90.00 gamma=90.00
Last column: magnetic moment on the atom in μB.
Fractional coordinates of all 16 atoms:
Ca: 0.2008 0.7992 0.7992  0.04
Ir: 0.1067 0.8933 0.1067  0.71
Ca: 0.2992 0.7008 0.2992  0.04
Ca: 0.7992 0.7992 0.2008  0.04
Ca: 0.7008 0.7008 0.7008  0.04
Ca: 0.2008 0.2008 0.2008  0.04
Ir: 0.6067 0.6067 0.3933  0.71
Ca: 0.7992 0.2008 0.7992  0.04
Ir: 0.1067 0.1067 0.8933  0.71
Ir: 0.3933 0.3933 0.3933  0.71
Ir: 0.8933 0.1067 0.1067  0.71
Ir: 0.6067 0.3933 0.6067  0.71
Ca: 0.7008 0.2992 0.2992  0.04
Ca: 0.2992 0.2992 0.7008  0.04
Ir: 0.3933 0.6067 0.6067  0.71
Ir: 0.8933 0.8933 0.8933  0.71

---

5.
Here is crystalline Na2TiInBr6 at its relaxed geometry from the Alexandria database. Energies are from GGA-PBE.

Computed properties:
Density   3.57 g/cm³
E_tot   -35.30 eV per cell
Uncorrected formation energy   -1199.2 meV/atom
D(E_F)   6.847 states/eV/f.u.
Total moment   0.1000 μB per atom

Unit cell a=7.4067 b=7.3927 c=7.9862 alpha=62.39 beta=62.39 gamma=60.00
Last column: magnetic moment on the atom in μB.
Fractional coordinates of all 10 atoms:
Br: 0.5537 0.2502 0.2284  -0.01
Br: 0.3872 0.6994 0.7760  -0.01
Na: 0.0024 0.0042 0.9901  0.00
Br: 0.1373 0.3873 0.7765  -0.01
In: 0.8120 0.8125 0.5627  0.00
Br: 0.6991 0.1381 0.7762  -0.01
Na: 0.5213 0.5205 0.4366  0.00
Ti: 0.3283 0.3284 0.0146  0.92
Br: 0.2525 0.9667 0.2265  -0.01
Br: 0.9679 0.5543 0.2276  -0.01

---

6.
Here is crystalline CaSi2Os at its relaxed geometry from the Alexandria database. Energies are from GGA-PBE.

Computed properties:
Density   6.85 g/cm³
E_tot   -48.21 eV per cell
Uncorrected formation energy   -6.9 meV/atom
Total moment   0.0000 μB per atom

Unit cell a=3.1785 b=5.2250 c=8.3681 alpha=90.00 beta=90.00 gamma=90.00
Fractional coordinates of all 8 atoms:
Si: 0.5000 0.2284 0.9308
Os: 0.5000 0.0000 0.5973
Ca: 0.5000 0.0000 0.2161
Ca: 0.0000 0.5000 0.7161
Si: 0.0000 0.2716 0.4308
Si: 0.5000 0.7716 0.9308
Os: 0.0000 0.5000 0.0973
Si: 0.0000 0.7284 0.4308